Run i
Material: Ba2NaNi
Method: DFT, GGA-PBE
State: optimized geometry

Structure (extended XYZ):
```
8
Lattice="9.3261 0.0000 0.0000 0.0000 9.3261 0.0000 4.6631 4.6631 3.8708" Properties=species:S:1:pos:R:3 pbc="T T T"
Ni 0.0000 0.0000 0.0000
Ni 9.3261 4.6631 1.9354
Ba 1.5376 6.9946 0.9677
Ba 7.7885 2.3315 0.9677
Ba 6.9946 6.2007 2.9031
Na 4.6631 9.3261 1.9354
Na 4.6631 4.6631 0.0000
Ba 11.6577 12.4516 2.9031
```

Summary:
- total moment (μB per atom) = 0.0000

Run ii
Material: Ba2NaNi
Method: DFT, GGA-PBE
State: optimized geometry

Structure (extended XYZ):
```
4
Lattice="0.0000 4.1220 4.1220 4.1220 0.0000 4.1220 4.1220 4.1220 0.0000" Properties=species:S:1:pos:R:3 pbc="T T T"
Na 0.0000 0.0000 0.0000
Ba 6.1830 6.1830 6.1830
Ba 2.0610 2.0610 2.0610
Ni 4.1220 4.1220 4.1220
```

Summary:
- total moment (μB per atom) = 0.0000

Run iii
Material: Ba2NaNi
Method: DFT, GGA-PBE
State: optimized geometry

Structure (extended XYZ):
```
8
Lattice="4.2010 0.0000 0.7701 1.7633 8.0244 2.2247 0.2370 0.8103 10.5511" Properties=species:S:1:pos:R:3 pbc="T T T"
Ba 3.4125 3.0652 5.0719
Ni 1.1272 0.7892 5.6946
Ni 5.0741 8.0454 7.8513
Na 4.3835 3.4973 11.6184
Ba 2.7742 1.0285 8.5539
Ba 3.4271 7.8062 4.9920
Na 1.8178 5.3374 1.9275
Ba 2.7888 5.7694 8.4740
```

Summary:
- total moment (μB per atom) = 0.0000

Least stable structure: run i